Record 1
First-principles (PBEsol) data for a relaxed SrLi2Fe crystal, as listed in the Alexandria database.

Calculated values
DFT total energy = -3.1221 eV/atom
energy above the most stable polymorph in this dataset = 0.00 eV/f.u.
calculated formation energy = 2.2 eV per formula unit

```
data_SrLi2Fe
_chemical_formula_sum 'Sr1 Li2 Fe1'
_cell_length_a 3.4776
_cell_length_b 3.4776
_cell_length_c 7.0805
_cell_angle_alpha 90.00
_cell_angle_beta 90.00
_cell_angle_gamma 90.00
_space_group_name_H-M_alt 'P 1'
_space_group_IT_number 1
_space_group_name_Hall 'P 1'
loop_
_atom_site_label
_atom_site_type_symbol
_atom_site_fract_x
_atom_site_fract_y
_atom_site_fract_z
Li1 Li 0.0000 0.0000 0.3265
Fe1 Fe 0.5000 0.5000 0.5000
Sr1 Sr 0.5000 0.5000 0.0000
Li2 Li 0.0000 0.0000 0.6735
```

Record 2
First-principles (PBEsol) data for a relaxed K2AsRh crystal, as listed in the Alexandria database.

Calculated values
DFT total energy = -4.0038 eV/atom
calculated formation energy = -0.5 eV per formula unit

```
data_K2AsRh
_chemical_formula_sum 'K2 As1 Rh1'
_cell_length_a 3.9343
_cell_length_b 5.6164
_cell_length_c 6.2028
_cell_angle_alpha 116.92
_cell_angle_beta 108.49
_cell_angle_gamma 90.00
_space_group_name_H-M_alt 'P 1'
_space_group_IT_number 1
_space_group_name_Hall 'P 1'
loop_
_atom_site_label
_atom_site_type_symbol
_atom_site_fract_x
_atom_site_fract_y
_atom_site_fract_z
As1 As 0.1860 0.6860 0.3721
K1 K 0.7746 0.2746 0.5492
Rh1 Rh 0.5744 0.5744 0.1488
K2 K 0.9650 0.9650 0.9300
```

Record 3
First-principles (PBEsol) data for a relaxed Y2In8Co crystal, as listed in the Alexandria database.

Calculated values
DFT total energy = -4.4915 eV/atom
calculated formation energy = -4.2 eV per formula unit

```
data_Y2In8Co
_chemical_formula_sum 'Y2 In8 Co1'
_cell_length_a 4.5101
_cell_length_b 4.5101
_cell_length_c 11.9652
_cell_angle_alpha 90.00
_cell_angle_beta 90.00
_cell_angle_gamma 90.00
_space_group_name_H-M_alt 'P 1'
_space_group_IT_number 1
_space_group_name_Hall 'P 1'
loop_
_atom_site_label
_atom_site_type_symbol
_atom_site_fract_x
_atom_site_fract_y
_atom_site_fract_z
In1 In 0.5000 0.5000 0.6924
In2 In 0.5000 0.0000 0.8808
In3 In 0.5000 0.0000 0.5000
In4 In 0.5000 0.0000 0.1192
Co1 Co 0.0000 0.0000 0.0000
In5 In 0.5000 0.5000 0.3076
In6 In 0.0000 0.5000 0.5000
Y1 Y 0.0000 0.0000 0.6930
In7 In 0.0000 0.5000 0.8808
In8 In 0.0000 0.5000 0.1192
Y2 Y 0.0000 0.0000 0.3070
```

Record 4
First-principles (PBEsol) data for a relaxed KAl4Os crystal, as listed in the Alexandria database.

Calculated values
DFT total energy = -4.4873 eV/atom
calculated formation energy = 2.8 eV per formula unit

```
data_KAl4Os
_chemical_formula_sum 'K1 Al4 Os1'
_cell_length_a 5.2511
_cell_length_b 5.2511
_cell_length_c 5.2511
_cell_angle_alpha 60.00
_cell_angle_beta 60.00
_cell_angle_gamma 60.00
_space_group_name_H-M_alt 'P 1'
_space_group_IT_number 1
_space_group_name_Hall 'P 1'
loop_
_atom_site_label
_atom_site_type_symbol
_atom_site_fract_x
_atom_site_fract_y
_atom_site_fract_z
K1 K 0.7500 0.7500 0.7500
Al1 Al 0.3737 0.3737 0.3737
Al2 Al 0.8788 0.3737 0.3737
Al3 Al 0.3737 0.3737 0.8788
Os1 Os 0.0000 0.0000 0.0000
Al4 Al 0.3737 0.8788 0.3737
```

Record 5
First-principles (PBEsol) data for a relaxed AlPt2Br crystal, as listed in the Alexandria database.

Calculated values
DFT total energy = -5.0327 eV/atom
ΔE_f (raw) = -61 meV per atom

```
data_AlPt2Br
_chemical_formula_sum 'Al1 Pt2 Br1'
_cell_length_a 2.8087
_cell_length_b 3.7173
_cell_length_c 7.1526
_cell_angle_alpha 90.00
_cell_angle_beta 90.00
_cell_angle_gamma 90.00
_space_group_name_H-M_alt 'P 1'
_space_group_IT_number 1
_space_group_name_Hall 'P 1'
loop_
_atom_site_label
_atom_site_type_symbol
_atom_site_fract_x
_atom_site_fract_y
_atom_site_fract_z
Pt1 Pt 0.0000 0.0000 0.9588
Pt2 Pt 0.5000 0.5000 0.7253
Br1 Br 0.5000 0.5000 0.2118
Al1 Al 0.0000 0.0000 0.6041
```

Record 6
First-principles (PBEsol) data for a relaxed BaIn2Te crystal, as listed in the Alexandria database.

Calculated values
DFT total energy = -3.4873 eV/atom
ΔE_f (raw) = -577 meV per atom

```
data_BaIn2Te
_chemical_formula_sum 'Ba1 In2 Te1'
_cell_length_a 4.8345
_cell_length_b 5.0193
_cell_length_c 6.2581
_cell_angle_alpha 113.64
_cell_angle_beta 112.72
_cell_angle_gamma 90.00
_space_group_name_H-M_alt 'P 1'
_space_group_IT_number 1
_space_group_name_Hall 'P 1'
loop_
_atom_site_label
_atom_site_type_symbol
_atom_site_fract_x
_atom_site_fract_y
_atom_site_fract_z
Ba1 Ba 0.2356 0.7356 0.4712
In1 In 0.9951 0.9951 0.9902
Te1 Te 0.4859 0.4859 0.9718
In2 In 0.7834 0.2834 0.5668
```

Record 7
First-principles (PBEsol) data for a relaxed NiTeAs crystal, as listed in the Alexandria database.

Calculated values
DFT total energy = -5.1149 eV/atom
ΔE_f (raw) = -185 meV per atom

```
data_NiTeAs
_chemical_formula_sum 'Ni1 Te1 As1'
_cell_length_a 3.7079
_cell_length_b 3.7079
_cell_length_c 4.7745
_cell_angle_alpha 90.00
_cell_angle_beta 90.00
_cell_angle_gamma 120.00
_space_group_name_H-M_alt 'P 1'
_space_group_IT_number 1
_space_group_name_Hall 'P 1'
loop_
_atom_site_label
_atom_site_type_symbol
_atom_site_fract_x
_atom_site_fract_y
_atom_site_fract_z
As1 As 0.0000 0.0000 0.9065
Te1 Te 0.6667 0.3333 0.4072
Ni1 Ni 0.3333 0.6667 0.6863
```

Record 8
First-principles (PBEsol) data for a relaxed Cr2TcTe crystal, as listed in the Alexandria database.

Calculated values
DFT total energy = -8.4215 eV/atom
ΔE_f (raw) = 398 meV per atom

```
data_Cr2TcTe
_chemical_formula_sum 'Cr2 Tc1 Te1'
_cell_length_a 3.0489
_cell_length_b 3.0489
_cell_length_c 6.1042
_cell_angle_alpha 90.00
_cell_angle_beta 90.00
_cell_angle_gamma 90.00
_space_group_name_H-M_alt 'P 1'
_space_group_IT_number 1
_space_group_name_Hall 'P 1'
loop_
_atom_site_label
_atom_site_type_symbol
_atom_site_fract_x
_atom_site_fract_y
_atom_site_fract_z
Cr1 Cr 0.0000 0.0000 0.2354
Cr2 Cr 0.0000 0.0000 0.7646
Te1 Te 0.5000 0.5000 0.5000
Tc1 Tc 0.5000 0.5000 0.0000
```

Short version: D(E_F) = 3.86, 1.54, 4.17, 2.47, 2.04, 1.37, 1.21, 4.04 states/eV/f.u., in the order given.